# Ca2MnTl

An optimized crystal structure of Ca2MnTl (PBEsol, Alexandria via LeMat-Bulk).

DFT formation energy	132	meV/atom
VASP energy	-4.033	eV per atom
magnetic moment	3.72	Bohr magnetons per cell

Cell: 6.3249 6.3249 5.2350 Å, 114.36 114.36 33.79°
Positions (direct):
Ca 0.0000 0.0000 0.0000
Ca 0.2095 0.2095 0.7095
Mn 0.4472 0.4472 0.4476
Tl 0.7578 0.7578 0.2576